## one
The following is a DFT calculation (PBE-GGA) of an optimized crystal structure of TlAsRhAuCl.

The structure in POSCAR format:
```
TlAsRhAuCl
1.0
-2.064 1.247 -4.696
-3.288 0.154 1.486
2.100 11.303 3.474
Rh Tl Au As Cl
2 2 2 2 2
direct
0.559 0.000 0.651
0.559 0.500 0.151
0.290 0.000 0.971
0.290 0.500 0.471
0.251 0.000 0.262
0.251 0.500 0.762
0.767 0.000 0.247
0.767 0.500 0.747
0.817 0.000 0.498
0.817 0.500 0.998
```

## Properties
Its volume is 114 Å³/f.u. The space group is No. 8. Its magnetic moment is 0.00 μB per formula unit.

***

## two
The following is a DFT calculation (PBE-GGA) of an optimized crystal structure of TlAsRhAuCl.

The structure in POSCAR format:
```
TlAsRhAuCl
1.0
-0.204 -0.417 3.590
-2.725 -3.725 -2.210
7.133 -1.880 -0.266
Rh Tl Au As Cl
1 1 1 1 1
direct
0.437 0.759 0.300
0.737 0.360 0.380
0.045 0.261 0.988
0.934 0.796 0.093
0.539 0.991 0.666
```

## Properties
Its volume is 121 Å³/f.u. The space group is No. 1. Its magnetic moment is 0.00 μB per formula unit.

***

## three
The following is a DFT calculation (PBE-GGA) of an optimized crystal structure of TlAsRhAuCl.

The structure in POSCAR format:
```
TlAsRhAuCl
1.0
3.444 0.000 -0.062
0.000 4.411 0.063
-1.542 -0.117 8.026
Rh Tl Au As Cl
1 1 1 1 1
direct
0.863 0.366 0.537
0.607 0.867 0.037
0.348 0.866 0.505
0.262 0.366 0.331
0.015 0.366 0.848
```

## Properties
Its volume is 122 Å³/f.u. The space group is No. 6. Its magnetic moment is 0.00 μB per formula unit.

***

Least stable = two

***

## one
The following is a DFT calculation (PBE-GGA) of an optimized crystal structure of AsAuS2Cl.

The structure in POSCAR format:
```
AsAuS2Cl
1.0
-2.678 2.774 2.272
-2.494 -4.206 2.196
2.919 0.040 3.392
As Au S Cl
1 1 2 1
direct
0.000 0.500 0.000
0.500 0.500 0.500
0.000 0.000 0.500
0.500 0.000 0.000
0.000 0.000 0.000
```

## Properties
Its volume is 107 Å³/f.u. The space group is No. 123. Its magnetic moment is 0.00 μB per formula unit.

***

## two
The following is a DFT calculation (PBE-GGA) of an optimized crystal structure of AsAuS2Cl.

The structure in POSCAR format:
```
AsAuS2Cl
1.0
4.788 0.000 0.000
0.000 4.788 0.000
0.000 0.000 4.865
As Au S Cl
1 1 2 1
direct
0.000 0.000 0.000
0.500 0.500 0.500
0.000 0.500 0.000
0.500 0.000 0.000
0.000 0.000 0.500
```

## Properties
Its volume is 112 Å³/f.u. The space group is No. 123. Its magnetic moment is 0.00 μB per formula unit.

***

Least stable = one

***

## one
The following is a DFT calculation (PBE-GGA) of an optimized crystal structure of As2AuSeCl.

The structure in POSCAR format:
```
As2AuSeCl
1.0
4.839 0.000 0.000
0.000 4.839 0.000
0.000 0.000 5.136
As Au Se Cl
2 1 1 1
direct
0.000 0.500 0.000
0.500 0.000 0.000
0.500 0.500 0.500
0.000 0.000 0.500
0.000 0.000 0.000
```

## Properties
Its volume is 120 Å³/f.u. The space group is No. 123. Its magnetic moment is 0.00 μB per formula unit.

***

## two
The following is a DFT calculation (PBE-GGA) of an optimized crystal structure of As2AuSeCl.

The structure in POSCAR format:
```
As2AuSeCl
1.0
5.139 0.000 0.000
0.000 5.139 0.000
0.000 0.000 5.070
As Au Se Cl
2 1 1 1
direct
0.000 0.500 0.000
0.500 0.000 0.000
0.000 0.000 0.000
0.000 0.000 0.500
0.500 0.500 0.500
```

## Properties
Its volume is 134 Å³/f.u. The space group is No. 123. Its magnetic moment is 0.51 μB per formula unit.

***

Least stable = one

***

## one
The following is a DFT calculation (PBE-GGA) of an optimized crystal structure of TlAsAuCl.

The structure in POSCAR format:
```
TlAsAuCl
1.0
-4.465 -0.116 -0.201
2.349 -3.796 -0.253
-0.284 -0.621 6.668
Tl Au As Cl
1 1 1 1
direct
0.333 0.667 0.308
0.000 0.000 0.027
0.667 0.333 0.980
0.667 0.333 0.628
```

## Properties
Its volume is 116 Å³/f.u. The space group is No. 156. Its magnetic moment is 0.00 μB per formula unit.

***

## two
The following is a DFT calculation (PBE-GGA) of an optimized crystal structure of TlAsAuCl.

The structure in POSCAR format:
```
TlAsAuCl
1.0
-0.852 4.620 0.070
-1.886 -0.417 4.715
3.662 0.629 3.797
Tl Au As Cl
1 1 1 1
direct
0.272 0.330 0.114
0.250 0.026 0.728
0.750 0.849 0.785
0.751 0.746 0.390
```

## Properties
Its volume is 117 Å³/f.u. The space group is No. 1. Its magnetic moment is 0.00 μB per formula unit.

***

Least stable = two